{
  "formula": "YCr2Tc",
  "functional": "PBE-GGA",
  "state": "optimized geometry",
  "ef_ev_per_fu": 1.95,
  "final_energy_ev_per_atom": -8.53,
  "vol_a3_per_cell": 64.4,
  "cell": [[-1.5719, 2.3152, 4.4205], [1.5719, -2.3152, 4.4205], [1.5719, 2.3152, -4.4205]],
  "species": ["Y", "Cr", "Cr", "Tc"],
  "frac_coords": [[0.0000, 0.0000, 0.0000], [0.2713, 0.7713, 0.5000], [0.7287, 0.2287, 0.5000], [0.5000, 0.5000, 0.0000]]
}